VASP calculation (PBE) on LiIn5Ga after structural relaxation.

```
7
Lattice="-1.584 4.489 1.473 -3.679 -0.198 -3.355 -4.255 -3.092 4.848" Properties=species:S:1:pos:R:3 pbc="T T T"
Li 0.000 0.000 0.000
In -2.631 2.146 -0.941
In -1.944 1.407 2.049
In -2.991 -0.936 -0.365
In -3.895 -0.010 4.271
In -4.942 -2.353 1.857
Ga -2.127 -1.546 2.424
```

Calculated values
Symmetry   P4/mmm
D(E_F)   2.2 states/eV per cell
Raw total energy   -18.91 eV for the cell shown